[1]
This record from Alexandria describes a relaxed CdCu2Pd2 crystal. The functional is PBE.

Unit cell a=3.857 b=3.857 c=6.216 alpha=71.92 beta=71.92 gamma=90.00
Fractional coordinates of all 5 atoms:
Cu 0.602 0.602 0.795
Cu 0.398 0.398 0.205
Pd 0.250 0.750 0.500
Pd 0.750 0.250 0.500
Cd 0.000 0.000 0.000

Calculated values
Excess energy over the best structure of this formula in the dataset in eV per atom: 0.220
Magnetization in μB per formula unit: 0.0
V in Å³/cell: 83

[2]
This record from Alexandria describes a relaxed CdCu2Pd8 crystal. The functional is PBE.

Unit cell a=3.951 b=6.303 c=7.309 alpha=106.18 beta=105.68 gamma=90.00
Fractional coordinates of all 11 atoms:
Pd 0.857 0.800 0.714
Pd 0.597 0.463 0.195
Pd 0.951 0.275 0.902
Pd 0.316 0.086 0.632
Pd 0.143 0.200 0.286
Pd 0.684 0.914 0.368
Pd 0.049 0.725 0.098
Pd 0.403 0.537 0.805
Cu 0.772 0.362 0.544
Cu 0.228 0.638 0.456
Cd 0.500 0.000 0.000

Calculated values
Excess energy over the best structure of this formula in the dataset in eV per atom: 0.000
Magnetization in μB per formula unit: 0.0
V in Å³/cell: 168

[3]
This record from Alexandria describes a relaxed CdCuPd crystal. The functional is PBE.

Unit cell a=2.851 b=4.416 c=4.416 alpha=120.00 beta=90.00 gamma=90.00
Fractional coordinates of all 3 atoms:
Cu 0.061 0.000 0.000
Cd 0.689 0.667 0.333
Pd 0.250 0.333 0.667

Calculated values
Excess energy over the best structure of this formula in the dataset in eV per atom: 0.024
Magnetization in μB per formula unit: 0.0
V in Å³/cell: 48